[1]
Material: TcTeIN2
Method: DFT, GGA-PBE
State: optimized geometry

- raw total energy (eV per atom) = -4.20
- excess energy over the best structure of this formula in the dataset (meV/atom) = 1279
- DOS(E_F) (states/eV/f.u.) = 3.13
- ΔE_f (raw) (meV/atom) = 2145
- total magnetization (Bohr magnetons per cell) = 3.61

Structure (CIF):
```
data_TcTeIN2
_cell_length_a 3.981
_cell_length_b 3.981
_cell_length_c 7.102
_cell_angle_alpha 90.00
_cell_angle_beta 90.00
_cell_angle_gamma 90.00
_symmetry_space_group_name_H-M 'P 4/m m m'
_symmetry_Int_Tables_number 123
_symmetry_space_group_name_Hall '-P 4 2'
loop_
_atom_site_label
_atom_site_fract_x
_atom_site_fract_y
_atom_site_fract_z
Tc1 0.000 0.000 0.000
Te1 0.500 0.500 0.000
I1 0.500 0.500 0.500
N1 0.000 0.500 0.500
```

[2]
Material: Pu2Sc
Method: DFT, GGA-PBE
State: optimized geometry

- raw total energy (eV per atom) = -11.44
- excess energy over the best structure of this formula in the dataset (meV/atom) = 0
- DOS(E_F) (states/eV/f.u.) = 5.81
- energy relative to the elements (eV/atom) = 0.224
- total magnetization (Bohr magnetons per cell) = 0.00

Structure (CIF):
```
data_Pu2Sc
_cell_length_a 3.304
_cell_length_b 3.304
_cell_length_c 10.963
_cell_angle_alpha 90.00
_cell_angle_beta 90.00
_cell_angle_gamma 90.00
_symmetry_space_group_name_H-M 'I 4/m m m'
_symmetry_Int_Tables_number 139
_symmetry_space_group_name_Hall '-I 4 2'
loop_
_atom_site_label
_atom_site_fract_x
_atom_site_fract_y
_atom_site_fract_z
Pu1 0.000 0.000 0.214
Sc1 0.000 0.000 0.500
```

[3]
Material: Nd3Dy2Tl
Method: DFT, GGA-PBE
State: optimized geometry

- raw total energy (eV per atom) = -4.38
- excess energy over the best structure of this formula in the dataset (meV/atom) = 38
- DOS(E_F) (states/eV/f.u.) = 5.92
- energy relative to the elements (eV/atom) = -0.071
- total magnetization (Bohr magnetons per cell) = 0.00

Structure (CIF):
```
data_Nd3Dy2Tl
_cell_length_a 17.414
_cell_length_b 6.881
_cell_length_c 6.545
_cell_angle_alpha 90.00
_cell_angle_beta 98.99
_cell_angle_gamma 90.00
_symmetry_space_group_name_H-M 'C 1 2/c 1'
_symmetry_Int_Tables_number 15
_symmetry_space_group_name_Hall '-C 2yc'
loop_
_atom_site_label
_atom_site_fract_x
_atom_site_fract_y
_atom_site_fract_z
Nd1 0.000 0.230 0.250
Nd2 0.169 0.117 0.044
Dy1 0.162 0.391 0.572
Tl1 0.000 0.280 0.750
```

[4]
Material: TiSbAsPb2
Method: DFT, GGA-PBE
State: optimized geometry

- raw total energy (eV per atom) = -4.54
- DOS(E_F) (states/eV/f.u.) = 5.41
- ΔE_f (raw) (meV/atom) = 281
- total magnetization (Bohr magnetons per cell) = 0.00

Structure (CIF):
```
data_TiSbAsPb2
_cell_length_a 5.541
_cell_length_b 5.541
_cell_length_c 4.809
_cell_angle_alpha 90.00
_cell_angle_beta 90.00
_cell_angle_gamma 90.00
_symmetry_space_group_name_H-M 'P 4/m m m'
_symmetry_Int_Tables_number 123
_symmetry_space_group_name_Hall '-P 4 2'
loop_
_atom_site_label
_atom_site_fract_x
_atom_site_fract_y
_atom_site_fract_z
Ti1 0.000 0.000 0.000
Sb1 0.500 0.500 0.500
As1 0.000 0.000 0.500
Pb1 0.000 0.500 0.000
```

[5]
Material: TlCuTeF6
Method: DFT, GGA-PBE
State: optimized geometry

- raw total energy (eV per atom) = -4.12
- DOS(E_F) (states/eV/f.u.) = 0.00
- ΔE_f (raw) (meV/atom) = -1809
- total magnetization (Bohr magnetons per cell) = 0.08

Structure (CIF):
```
data_TlCuTeF6
_cell_length_a 5.673
_cell_length_b 5.719
_cell_length_c 6.088
_cell_angle_alpha 88.90
_cell_angle_beta 85.36
_cell_angle_gamma 62.81
_symmetry_space_group_name_H-M 'P 1'
_symmetry_Int_Tables_number 1
_symmetry_space_group_name_Hall 'P 1'
loop_
_atom_site_label
_atom_site_fract_x
_atom_site_fract_y
_atom_site_fract_z
Tl1 0.000 0.000 0.000
Cu1 0.423 0.343 0.562
Te1 0.690 0.683 0.501
F1 0.396 0.580 0.777
F2 0.492 0.082 0.347
F3 0.649 0.902 0.775
F4 0.835 0.491 0.209
F5 0.961 0.377 0.644
F6 0.989 0.762 0.434
```

[6]
Material: VCo2Tc
Method: DFT, GGA-PBE
State: optimized geometry

- raw total energy (eV per atom) = -7.95
- excess energy over the best structure of this formula in the dataset (meV/atom) = 593
- DOS(E_F) (states/eV/f.u.) = 6.32
- energy relative to the elements (eV/atom) = 0.474
- total magnetization (Bohr magnetons per cell) = 5.91

Structure (CIF):
```
data_VCo2Tc
_cell_length_a 3.514
_cell_length_b 3.514
_cell_length_c 17.064
_cell_angle_alpha 90.00
_cell_angle_beta 90.00
_cell_angle_gamma 90.00
_symmetry_space_group_name_H-M 'I -4 2 d'
_symmetry_Int_Tables_number 122
_symmetry_space_group_name_Hall 'I -4 2bw'
loop_
_atom_site_label
_atom_site_fract_x
_atom_site_fract_y
_atom_site_fract_z
V1 0.000 0.000 0.000
Co1 0.239 0.250 0.125
Tc1 0.000 0.000 0.500
```

[7]
Material: KLiO3
Method: DFT, GGA-PBE
State: optimized geometry

- raw total energy (eV per atom) = -3.89
- DOS(E_F) (states/eV/f.u.) = 3.27
- ΔE_f (raw) (meV/atom) = -311
- total magnetization (Bohr magnetons per cell) = 4.00

Structure (CIF):
```
data_KLiO3
_cell_length_a 3.904
_cell_length_b 3.904
_cell_length_c 3.904
_cell_angle_alpha 90.00
_cell_angle_beta 90.00
_cell_angle_gamma 90.00
_symmetry_space_group_name_H-M 'P m -3 m'
_symmetry_Int_Tables_number 221
_symmetry_space_group_name_Hall '-P 4 2 3'
loop_
_atom_site_label
_atom_site_fract_x
_atom_site_fract_y
_atom_site_fract_z
K1 0.000 0.000 0.000
Li1 0.500 0.500 0.500
O1 0.000 0.500 0.500
```

[8]
Material: ZrNb2Ru2
Method: DFT, GGA-PBE
State: optimized geometry

- raw total energy (eV per atom) = -9.55
- excess energy over the best structure of this formula in the dataset (meV/atom) = 23
- DOS(E_F) (states/eV/f.u.) = 4.59
- energy relative to the elements (eV/atom) = -0.105
- total magnetization (Bohr magnetons per cell) = 0.00

Structure (CIF):
```
data_ZrNb2Ru2
_cell_length_a 3.100
_cell_length_b 18.265
_cell_length_c 3.138
_cell_angle_alpha 90.00
_cell_angle_beta 90.00
_cell_angle_gamma 90.00
_symmetry_space_group_name_H-M 'C m m m'
_symmetry_Int_Tables_number 65
_symmetry_space_group_name_Hall '-C 2 2'
loop_
_atom_site_label
_atom_site_fract_x
_atom_site_fract_y
_atom_site_fract_z
Zr1 0.000 0.000 0.000
Nb1 0.000 0.184 0.000
Ru1 0.000 0.407 0.500
```

[9]
Material: NdSi2PdPt5
Method: DFT, GGA-PBE
State: optimized geometry

- raw total energy (eV per atom) = -6.23
- DOS(E_F) (states/eV/f.u.) = 4.94
- ΔE_f (raw) (meV/atom) = -558
- total magnetization (Bohr magnetons per cell) = 0.00

Structure (CIF):
```
data_NdSi2PdPt5
_cell_length_a 4.087
_cell_length_b 4.087
_cell_length_c 10.613
_cell_angle_alpha 90.00
_cell_angle_beta 90.00
_cell_angle_gamma 90.00
_symmetry_space_group_name_H-M 'P 4/m m m'
_symmetry_Int_Tables_number 123
_symmetry_space_group_name_Hall '-P 4 2'
loop_
_atom_site_label
_atom_site_fract_x
_atom_site_fract_y
_atom_site_fract_z
Nd1 0.000 0.000 0.000
Si1 0.500 0.500 0.221
Pd1 0.000 0.000 0.500
Pt1 0.000 0.500 0.330
Pt2 0.500 0.500 0.000
```

[10]
Material: CaFe2Tc
Method: DFT, GGA-PBE
State: optimized geometry

- raw total energy (eV per atom) = -6.96
- excess energy over the best structure of this formula in the dataset (meV/atom) = 0
- DOS(E_F) (states/eV/f.u.) = 5.66
- energy relative to the elements (eV/atom) = 0.363
- total magnetization (Bohr magnetons per cell) = 7.65

Structure (CIF):
```
data_CaFe2Tc
_cell_length_a 7.158
_cell_length_b 4.141
_cell_length_c 5.690
_cell_angle_alpha 90.00
_cell_angle_beta 114.98
_cell_angle_gamma 90.00
_symmetry_space_group_name_H-M 'C 1 2/m 1'
_symmetry_Int_Tables_number 12
_symmetry_space_group_name_Hall '-C 2y'
loop_
_atom_site_label
_atom_site_fract_x
_atom_site_fract_y
_atom_site_fract_z
Ca1 0.000 0.000 0.000
Fe1 0.194 0.000 0.583
Tc1 0.000 0.500 0.500
```